No. 1
# TbPaCr2O8

An optimized crystal structure of TbPaCr2O8 (PBE+U, Alexandria via LeMat-Bulk).

Properties
The calculation puts the total energy at -198.932 eV per cell.

Geometry as CIF:
```
data_TbPaCr2O8
_chemical_formula_sum 'Tb2 Pa2 Cr4 O16'
_cell_length_a 7.134
_cell_length_b 7.134
_cell_length_c 6.487
_cell_angle_alpha 90.00
_cell_angle_beta 90.00
_cell_angle_gamma 90.00
_symmetry_space_group_name_H-M 'I -4 m 2'
_symmetry_Int_Tables_number 119
_symmetry_space_group_name_Hall 'I -4 -2'
loop_
_atom_site_label
_atom_site_type_symbol
_atom_site_fract_x
_atom_site_fract_y
_atom_site_fract_z
_atom_site_occupancy
Tb1 Tb 0.000 0.000 0.000 1
Pa1 Pa 0.000 0.500 0.250 1
Cr1 Cr 0.000 0.000 0.500 1
Cr2 Cr 0.000 0.500 0.750 1
O1 O 0.000 0.189 0.317 1
O2 O 0.000 0.321 0.943 1
```

---

No. 2
# RbTb2Fe2O6

An optimized crystal structure of RbTb2Fe2O6 (PBE+U, Alexandria via LeMat-Bulk).

Properties
The calculation puts the total energy at -76.104 eV per cell.

Geometry as CIF:
```
data_RbTb2Fe2O6
_chemical_formula_sum 'Rb1 Tb2 Fe2 O6'
_cell_length_a 6.212
_cell_length_b 6.443
_cell_length_c 6.560
_cell_angle_alpha 61.92
_cell_angle_beta 64.09
_cell_angle_gamma 61.68
_symmetry_space_group_name_H-M 'P -1'
_symmetry_Int_Tables_number 2
_symmetry_space_group_name_Hall '-P 1'
loop_
_atom_site_label
_atom_site_type_symbol
_atom_site_fract_x
_atom_site_fract_y
_atom_site_fract_z
_atom_site_occupancy
Rb1 Rb 0.000 0.000 0.000 1
Tb1 Tb 0.320 0.314 0.052 1
Fe1 Fe 0.324 0.703 0.543 1
O1 O 0.091 0.535 0.756 1
O2 O 0.357 0.903 0.224 1
O3 O 0.452 0.666 0.776 1
```